Entry 1:
Density functional theory data (PBE) for a relaxed LiSc2TlS crystal.

Uncorrected formation energy = -0.82 eV per atom
Calculated total energy = -5.03 eV/atom
Magnetic moment = 0.00 μB/f.u.

The structure in POSCAR format:
```
LiSc2TlS
1.0
-1.4684 4.6815 -0.1245
-0.5224 -0.2934 -4.8712
-4.1893 -1.3000 0.5276
Sc Tl S Li
2 1 1 1
Cartesian
-0.2612 -0.1467 -2.4356
-0.7342 2.3407 -0.0623
-3.0900 1.5440 -2.2341
0.0000 0.0000 0.0000
-2.0947 -0.6500 0.2638
```

Entry 2:
Density functional theory data (PBE) for a relaxed NdSc2Cu crystal.

Calculated total energy = -5.46 eV/atom
Magnetic moment = 0.00 μB/f.u.

The structure in POSCAR format:
```
NdSc2Cu
1.0
-0.0999 1.0418 -3.1842
-0.9470 -3.0645 -0.9729
-7.9426 2.1518 0.9533
Sc Nd Cu
2 1 1
Cartesian
-6.4552 1.7488 0.7748
-1.4874 0.4030 0.1785
-4.4948 0.0645 -1.6019
-0.5235 -1.0114 -2.0785
```

Entry 3:
Density functional theory data (PBE) for a relaxed ZnPbW2 crystal.

Calculated total energy = -6.81 eV/atom
Magnetic moment = 0.00 μB/f.u.

The structure in POSCAR format:
```
ZnPbW2
1.0
-0.8368 4.6592 -2.5028
-4.1455 0.2498 -3.3800
0.8365 -1.6287 5.0319
Pb W Zn
1 2 1
Cartesian
-1.2458 2.7425 -0.2062
0.0000 0.0000 0.0000
-2.4912 2.4545 -2.9414
-2.9001 0.5378 -0.6448
```

Entry 4:
Density functional theory data (PBE) for a relaxed Pu3Ge2Rh crystal.

Calculated total energy = -10.39 eV/atom
Magnetic moment = 5.06 μB/f.u.

The structure in POSCAR format:
```
Pu3Ge2Rh
1.0
4.3916 0.0000 0.0000
0.0000 9.9800 0.0000
0.0000 0.0000 12.0063
Pu Ge Rh
12 8 4
Cartesian
1.0979 4.0615 0.5734
3.2937 5.9185 11.4329
3.2937 9.0515 5.4298
1.0979 0.9285 6.5765
1.0979 7.2723 2.9162
3.2937 2.7077 9.0901
3.2937 2.2823 3.0869
1.0979 7.6977 8.9193
1.0979 4.3696 4.4318
3.2937 5.6104 7.5745
3.2937 9.3596 1.5714
1.0979 0.6204 10.4349
1.0979 7.0811 6.0021
3.2937 2.8989 6.0042
3.2937 2.0911 0.0010
1.0979 7.8889 12.0053
1.0979 0.2297 3.6044
3.2937 9.7503 8.4019
3.2937 5.2197 2.3988
1.0979 4.7603 9.6075
1.0979 1.3984 1.3038
3.2937 8.5816 10.7025
3.2937 6.3884 4.6993
1.0979 3.5916 7.3070
```

Entry 5:
Density functional theory data (PBE) for a relaxed Ca2ThPb3 crystal.

Calculated total energy = -4.20 eV/atom
Magnetic moment = 0.00 μB/f.u.

The structure in POSCAR format:
```
Ca2ThPb3
1.0
-2.8363 -0.9120 -2.0366
-1.4370 -1.7733 2.7954
-6.5385 11.5209 3.9471
Ca Th Pb
2 1 3
Cartesian
-7.6023 8.2879 3.6789
-3.2095 0.5477 1.0271
-5.4059 4.4178 2.3530
0.0000 0.0000 0.0000
-4.3820 7.7211 2.6453
-2.1565 3.7997 1.3018
```

Entry 6:
Density functional theory data (PBE) for a relaxed YZrS2 crystal.

Uncorrected formation energy = -1.44 eV per atom
Calculated total energy = -7.26 eV/atom
Magnetic moment = 0.00 μB/f.u.

The structure in POSCAR format:
```
YZrS2
1.0
0.3815 -4.6658 0.3599
-2.2332 -2.2793 3.4442
-3.6794 -2.7403 -0.9989
Y S Zr
1 2 1
Cartesian
0.0000 0.0000 0.0000
-1.3828 -2.4214 0.7013
-4.1484 -7.2641 2.1039
-2.7656 -4.8427 1.4026
```

Entry 7:
Density functional theory data (PBE) for a relaxed BTeWS2 crystal.

Uncorrected formation energy = 2.34 eV per atom
Calculated total energy = -3.87 eV/atom
Magnetic moment = 4.32 μB/f.u.

The structure in POSCAR format:
```
BTeWS2
1.0
-1.8350 -4.3735 1.9046
2.0349 -2.6478 -4.1195
4.3483 -0.6946 2.5945
S Te B W
2 1 1 1
Cartesian
2.1742 -0.3473 1.2972
-0.9175 -2.1867 0.9523
0.0000 0.0000 0.0000
2.2741 -3.8579 0.1898
1.0175 -1.3239 -2.0597
```

Entry 8:
Density functional theory data (PBE) for a relaxed ZnReRh crystal.

Calculated total energy = -7.13 eV/atom
Magnetic moment = 0.00 μB/f.u.

The structure in POSCAR format:
```
ZnReRh
1.0
4.4870 0.0000 0.0099
0.0000 2.8414 0.0000
-1.9499 0.0000 13.5814
Re Zn Rh
4 4 4
Cartesian
-0.3357 0.0000 10.0908
2.8728 0.0000 3.5006
0.6393 1.4207 3.3001
1.8979 1.4207 10.2913
2.5342 0.0000 7.8817
0.0029 0.0000 5.7096
3.5092 1.4207 1.0910
-0.9720 1.4207 12.5003
1.2417 0.0000 12.4272
1.2955 0.0000 1.1641
2.2166 1.4207 5.6365
0.3205 1.4207 7.9548
```

Entry 9:
Density functional theory data (PBE) for a relaxed RbZr3Re crystal.

Calculated total energy = -5.26 eV/atom
Magnetic moment = 0.00 μB/f.u.

The structure in POSCAR format:
```
RbZr3Re
1.0
-3.6800 0.3761 3.2002
-2.8564 -2.6289 -2.9757
1.4912 -4.1076 2.1975
Re Rb Zr
1 1 3
Cartesian
-2.5226 -3.1802 1.2109
0.0000 0.0000 0.0000
-1.4282 -1.3144 -1.4879
0.7456 -2.0538 1.0987
-1.8400 0.1880 1.6001
```

Entry 10:
Density functional theory data (PBE) for a relaxed Cs2K6Rb21 crystal.

Calculated total energy = -0.94 eV/atom
Magnetic moment = 0.00 μB/f.u.

The structure in POSCAR format:
```
Cs2K6Rb21
1.0
13.5676 0.0000 7.8332
4.5225 12.7916 7.8332
0.0000 0.0000 15.6665
Cs K Rb
2 6 21
Cartesian
13.5676 9.5937 23.4997
4.5225 3.1979 7.8332
7.0877 9.1639 12.2763
11.0024 3.6277 12.2763
12.9597 9.1639 15.6665
11.0024 3.6277 19.0567
7.0877 9.1639 19.0567
5.1304 3.6277 15.6665
0.0000 0.0000 0.0000
11.3596 8.0325 11.6575
11.3596 8.0325 19.6754
9.0450 1.4858 15.6665
4.4159 8.0325 15.6665
6.7305 4.7592 19.6755
6.7305 4.7592 11.6575
9.0450 11.3058 15.6665
13.6742 4.7592 15.6665
8.9060 0.0000 10.5246
2.9687 8.3967 10.5246
0.0000 0.0000 5.3827
2.9687 8.3967 5.1419
8.9060 0.0000 5.1419
0.0000 0.0000 10.2838
1.5538 4.3949 2.6913
1.5538 4.3949 12.9751
10.4599 4.3950 7.8332
4.6615 0.0000 12.9751
4.6615 0.0000 2.6913
7.6302 8.3967 7.8332
```

Entry 11:
Density functional theory data (PBE) for a relaxed La3BiBr crystal.

Uncorrected formation energy = -0.67 eV per atom
Calculated total energy = -4.73 eV/atom
Magnetic moment = 0.32 μB/f.u.

The structure in POSCAR format:
```
La3BiBr
1.0
4.1587 -0.0006 -0.0010
-2.0808 8.8018 -0.0398
-0.0001 -3.4867 10.6308
La Bi Br
6 2 2
Cartesian
-0.0012 0.6023 5.8609
2.0787 2.7452 0.5379
-0.0021 -0.2454 1.8929
2.0790 4.7122 4.7290
2.0799 5.5598 8.6970
-0.0009 2.5692 10.0520
0.0001 3.6344 6.9863
2.0777 1.6800 3.6037
-0.0006 -0.2458 8.8163
2.0784 5.5602 1.7737
```

Entry 12:
Density functional theory data (PBE) for a relaxed Th4Se4S crystal.

Uncorrected formation energy = -1.22 eV per atom
Calculated total energy = -6.52 eV/atom
Magnetic moment = 0.01 μB/f.u.

The structure in POSCAR format:
```
Th4Se4S
1.0
6.9221 0.0000 0.0000
0.0000 6.9221 0.0000
-3.4611 -3.4611 5.9585
Th Se S
4 4 1
Cartesian
1.9864 1.9864 4.2229
1.4746 5.4475 1.7356
-1.9864 -1.9864 4.2229
5.4475 1.4746 1.7356
3.4611 0.0000 0.0000
0.0000 3.4611 0.0000
0.0000 0.0000 3.8926
3.4611 3.4611 2.0659
0.0000 0.0000 0.0000
```

Entry 13:
Density functional theory data (PBE) for a relaxed ReSiS2F crystal.

Uncorrected formation energy = 0.87 eV per atom
Calculated total energy = -4.73 eV/atom
Magnetic moment = 4.08 μB/f.u.

The structure in POSCAR format:
```
ReSiS2F
1.0
-1.5364 2.5518 -3.2015
-4.5464 -1.9852 0.5995
-0.9657 3.0971 2.9320
Re S Si F
1 2 1 1
Cartesian
-2.2732 -0.9926 0.2998
-0.4829 1.5486 1.4660
-0.7682 1.2759 -1.6007
0.0000 0.0000 0.0000
-3.5243 1.8318 0.1651
```

Entry 14:
Density functional theory data (PBE) for a relaxed Pm2MgAl3 crystal.

Calculated total energy = -4.13 eV/atom
Magnetic moment = 0.00 μB/f.u.

The structure in POSCAR format:
```
Pm2MgAl3
1.0
5.8117 0.0000 0.0000
-2.9058 5.0330 0.0000
0.0000 0.0000 9.1875
Pm Mg Al
4 2 6
Cartesian
2.9058 1.6777 3.9202
0.0000 3.3554 5.2673
0.0000 3.3554 8.5140
2.9058 1.6777 0.6735
0.0000 0.0000 4.5938
0.0000 0.0000 0.0000
0.0000 1.7609 2.2969
1.5250 0.8805 6.8906
2.9058 3.2721 6.8906
-1.3808 4.1526 2.2969
4.2867 0.8805 6.8906
1.3808 4.1526 2.2969
```

Entry 15:
Density functional theory data (PBE) for a relaxed PrMg2VN4 crystal.

Uncorrected formation energy = -1.05 eV per atom
Calculated total energy = -7.35 eV/atom
Magnetic moment = 0.00 μB/f.u.

The structure in POSCAR format:
```
PrMg2VN4
1.0
5.4093 0.0000 0.0000
0.0000 5.9335 0.0000
0.0000 0.0000 7.0840
Pr Mg V N
2 4 2 8
Cartesian
5.2929 0.8686 3.5420
2.5882 5.0649 0.0000
2.6662 2.0176 1.8013
2.6662 2.0176 5.2827
5.3709 3.9159 5.3433
5.3709 3.9159 1.7407
2.7052 4.7930 3.5420
0.0005 1.1405 0.0000
1.8045 1.3469 0.0000
4.5092 4.5866 3.5420
2.4281 0.7130 3.5420
5.1328 5.2206 0.0000
2.0370 3.9907 5.0332
4.7416 1.9428 1.4912
4.7416 1.9428 5.5928
2.0370 3.9907 2.0508
```

Entry 16:
Density functional theory data (PBE) for a relaxed TcAgRu2 crystal.

Calculated total energy = -7.52 eV/atom
Magnetic moment = 0.00 μB/f.u.

The structure in POSCAR format:
```
TcAgRu2
1.0
-2.2179 -0.0527 -4.2679
-0.0895 -1.7832 -4.4664
-2.9525 -3.7087 0.6757
Ag Ru Tc
1 2 1
Cartesian
-3.9531 -4.1704 -6.0284
-2.3315 -1.8770 -8.6345
-1.3369 -1.4096 -2.0449
-2.5756 -2.6958 -4.1145
```

Entry 17:
Density functional theory data (PBE) for a relaxed Cu2Br crystal.

Uncorrected formation energy = 0.27 eV per atom
Calculated total energy = -3.01 eV/atom
Magnetic moment = 0.00 μB/f.u.

The structure in POSCAR format:
```
Cu2Br
1.0
2.6255 -4.6110 0.0000
2.6255 4.6110 0.0000
0.0000 0.0000 4.4350
Cu Br
4 2
Cartesian
3.2766 -2.1948 3.3262
1.9744 2.1948 1.1087
3.2766 2.1948 3.3262
1.9744 -2.1948 1.1087
1.3578 0.0000 3.3262
3.8932 0.0000 1.1087
```

Entry 18:
Density functional theory data (PBE) for a relaxed LiSc5Ga6 crystal.

Calculated total energy = -4.87 eV/atom
Magnetic moment = 0.00 μB/f.u.

The structure in POSCAR format:
```
LiSc5Ga6
1.0
4.4935 -0.0032 -1.2591
-3.3642 6.6094 -3.3778
-0.1541 -0.9065 8.0973
Sc Ga Li
5 6 1
Cartesian
1.5652 0.3269 5.5822
-1.2280 1.6080 4.2583
0.4876 2.8499 1.7302
-2.2903 4.0949 0.4612
-0.5900 5.3728 -2.1218
0.7627 0.1679 2.7209
1.2608 3.0772 4.4871
2.4801 1.3614 0.1979
-1.5049 4.3383 3.2625
-0.2857 2.6225 -1.0267
0.2124 5.5318 0.7395
0.0000 0.0000 0.0000
```

Entry 19:
Density functional theory data (PBE) for a relaxed TlBiN2Cl crystal.

Uncorrected formation energy = 1.51 eV per atom
Calculated total energy = -3.44 eV/atom
Magnetic moment = 0.00 μB/f.u.

The structure in POSCAR format:
```
TlBiN2Cl
1.0
4.3711 0.0000 0.0000
0.0000 5.2050 0.0000
0.0000 0.0000 4.3711
Tl N Bi Cl
1 2 1 1
Cartesian
0.0000 0.0000 0.0000
0.0000 0.0000 2.1856
2.1856 0.0000 0.0000
2.1856 2.6025 2.1856
0.0000 2.6025 0.0000
```

Entry 20:
Density functional theory data (PBE) for a relaxed Ca2ZnIn crystal.

Calculated total energy = -2.30 eV/atom
Magnetic moment = 0.00 μB/f.u.

The structure in POSCAR format:
```
Ca2ZnIn
1.0
6.4120 0.0090 0.1503
5.3265 3.5696 0.1503
2.1395 0.6523 4.8283
Zn Ca In
1 2 1
Cartesian
10.5815 3.2258 3.7461
2.4485 0.7465 4.6916
3.3365 1.0172 1.3370
6.5902 2.0091 2.7467
```

Entry 21:
Density functional theory data (PBE) for a relaxed InTc2Sb crystal.

Uncorrected formation energy = 0.42 eV per atom
Calculated total energy = -6.48 eV/atom
Magnetic moment = 0.00 μB/f.u.

The structure in POSCAR format:
```
InTc2Sb
1.0
4.0345 0.0000 0.0000
0.0000 3.0983 -0.0026
0.0000 1.8625 5.8357
In Sb Tc
1 1 2
Cartesian
2.0173 1.2402 1.4583
2.0173 3.7207 4.3748
0.0000 4.5913 5.7419
0.0000 2.8500 3.0078
```

Entry 22:
Density functional theory data (PBE) for a relaxed Sr2MnRe crystal.

Calculated total energy = -5.67 eV/atom
Magnetic moment = 1.74 μB/f.u.

The structure in POSCAR format:
```
Sr2MnRe
1.0
3.3768 0.0000 0.0000
0.0000 3.3754 0.0106
0.0000 3.4230 9.3490
Mn Re Sr
1 1 2
Cartesian
0.0000 3.4062 5.4551
1.6884 5.0892 6.2326
0.0000 3.3949 8.6468
1.6884 1.7302 3.0538
```

Entry 23:
Density functional theory data (PBE) for a relaxed ScMoSe crystal.

Uncorrected formation energy = -0.08 eV per atom
Calculated total energy = -6.96 eV/atom
Magnetic moment = 1.26 μB/f.u.

The structure in POSCAR format:
```
ScMoSe
1.0
4.3375 0.0000 0.0000
2.1687 3.7564 0.0000
2.1687 1.2521 3.5415
Mo Sc Se
1 1 1
Cartesian
0.0000 0.0000 0.0000
4.3375 2.5042 1.7708
6.5062 3.7564 2.6561
```

Entry 24:
Density functional theory data (PBE) for a relaxed BAuBr3 crystal.

Uncorrected formation energy = 0.92 eV per atom
Calculated total energy = -2.07 eV/atom
Magnetic moment = 0.09 μB/f.u.

The structure in POSCAR format:
```
BAuBr3
1.0
-4.2465 -3.1449 -0.4321
2.1014 -3.3258 3.5543
-2.3794 2.6755 3.9102
B Au Br
1 1 3
Cartesian
-2.2622 -1.8976 3.5162
0.0000 0.0000 0.0000
1.0507 -1.6629 1.7771
-1.1897 1.3378 1.9551
-2.1232 -1.5725 -0.2161
```